Tl2FeCu (SCAN, single point on PBEsol structure); M_tot = 2.813 μB/cell; space-group type = No. 8; energy of formation = 0.4621 eV/atom; energy relative to the lowest polymorph listed for this composition = 41 meV/atom; DFT total energy = -44.05 eV per atom
1.0
5.443 -1.496 0.000
5.443 1.496 0.000
-1.437 0.000 4.410
Tl Fe Cu
2 1 1
direct
0.000 0.000 0.000
0.216 0.216 0.639
0.752 0.752 0.158
0.437 0.437 0.450

TlFe2Cu (SCAN, single point on PBEsol structure); M_tot = 5.625 μB/cell; space-group type = No. 225; energy of formation = 0.4925 eV/atom; energy relative to the lowest polymorph listed for this composition = 170 meV/atom; DFT total energy = -30.46 eV per atom
1.0
0.000 3.027 3.027
3.027 0.000 3.027
3.027 3.027 0.000
Tl Fe Cu
1 2 1
direct
0.000 0.000 0.000
0.250 0.250 0.250
0.750 0.750 0.750
0.500 0.500 0.500